[1]
Computed, not measured: a geometry-optimized K2AsRh structure at the PBE level of DFT.

Unit cell a=3.1623 b=3.1623 c=32.6696 alpha=90.00 beta=90.00 gamma=120.00
Space group R-3m (No. 166, hexagonal axes)
Inequivalent atoms, fractional coordinates:
K: 0.0000 0.0000 0.2483
As: 0.0000 0.0000 0.0000
Rh: 0.0000 0.0000 0.5000

Computed properties:
uncorrected energy = -3.020 eV/atom
formation energy from the elements = 2.1 eV per formula unit
ρ = 4.51 g cm⁻³

[2]
Computed, not measured: a geometry-optimized BaTcS2 structure at the PBE level of DFT.

Unit cell a=6.913 b=6.913 c=6.913 alpha=90.00 beta=90.00 gamma=90.00
Space group Fm-3m (No. 225)
Inequivalent atoms, fractional coordinates:
Ba: 0.000 0.000 0.000
Tc: 0.000 0.000 0.500
S: 0.250 0.250 0.250

Computed properties:
uncorrected energy = -5.298 eV/atom
ρ = 6.02 g cm⁻³
raw formation energy = -162 meV per atom

[3]
Computed, not measured: a geometry-optimized InAsW structure at the PBE level of DFT.

Unit cell a=6.356 b=6.356 c=6.356 alpha=90.00 beta=90.00 gamma=90.00
Space group F-43m (No. 216)
Inequivalent atoms, fractional coordinates:
In: 0.000 0.000 0.000
As: 0.000 0.000 0.500
W: 0.250 0.250 0.250

Computed properties:
uncorrected energy = -5.924 eV/atom
formation energy from the elements = 2.6 eV per formula unit
ρ = 9.67 g cm⁻³

[4]
Computed, not measured: a geometry-optimized Rb3CuO2 structure at the PBE level of DFT.

Unit cell a=6.376 b=12.428 c=7.739 alpha=90.00 beta=90.00 gamma=90.00
Space group Ibam (No. 72)
Inequivalent atoms, fractional coordinates:
Rb: 0.000 0.000 0.250
Rb: 0.000 0.289 0.250
Cu: 0.000 0.500 0.000
O: 0.210 0.397 0.000

Computed properties:
uncorrected energy = -3.723 eV/atom
ρ = 3.81 g cm⁻³
raw formation energy = -904 meV per atom

[5]
Computed, not measured: a geometry-optimized CsPm3P structure at the PBE level of DFT.

Unit cell a=5.703 b=5.703 c=5.703 alpha=90.00 beta=90.00 gamma=90.00
Space group Pm-3m (No. 221)
Inequivalent atoms, fractional coordinates:
Cs: 0.000 0.000 0.000
Pm: 0.000 0.500 0.500
P: 0.500 0.500 0.500

Computed properties:
uncorrected energy = -4.203 eV/atom
formation energy from the elements = -0.5 eV per formula unit
ρ = 5.36 g cm⁻³

[6]
Computed, not measured: a geometry-optimized Na2Pu2Cl7 structure at the PBE level of DFT.

Unit cell a=4.017 b=19.771 c=8.459 alpha=90.00 beta=90.00 gamma=90.00
Space group Imm2 (No. 44)
Inequivalent atoms, fractional coordinates:
Na: 0.000 0.239 0.000
Pu: 0.000 0.000 0.926
Pu: 0.000 0.500 0.001
Cl: 0.000 0.000 0.268
Cl: 0.000 0.083 0.640
Cl: 0.000 0.223 0.315
Cl: 0.000 0.408 0.482

Computed properties:
uncorrected energy = -5.775 eV/atom
ρ = 3.87 g cm⁻³
raw formation energy = -1755 meV per atom